# YAs2Pd2 | Alexandria via LeMat-Bulk | PBE | optimized geometry
# Energy of formation from the pure elements (meV per atom): -661
data_YAs2Pd2
_cell_length_a 9.177
_cell_length_b 9.974
_cell_length_c 5.869
_cell_angle_alpha 90.00
_cell_angle_beta 129.64
_cell_angle_gamma 90.00
_space_group_name_H-M_alt 'C 1 2/c 1'
_space_group_IT_number 15
loop_
_space_group_symop_operation_xyz
'x,y,z'
'-x,-y,-z'
'-x,y,-z+1/2'
'x,-y,z+1/2'
'x+1/2,y+1/2,z'
'-x+1/2,-y+1/2,-z'
'-x+1/2,y+1/2,-z+1/2'
'x+1/2,-y+1/2,z+1/2'
loop_
_atom_site_label
_atom_site_fract_x
_atom_site_fract_y
_atom_site_fract_z
Y1 0.000 0.135 0.250
As1 0.000 0.155 0.750
As2 0.000 0.429 0.250
Pd1 0.170 0.362 0.782



# MgGa2AgBr | Alexandria via LeMat-Bulk | PBE | optimized geometry
# Energy relative to the elements, uncorrected (meV/atom): 195
data_MgGa2AgBr
_cell_length_a 4.955
_cell_length_b 4.955
_cell_length_c 6.000
_cell_angle_alpha 90.00
_cell_angle_beta 90.00
_cell_angle_gamma 90.00
_space_group_name_H-M_alt 'P 4/m m m'
_space_group_IT_number 123
_space_group_name_Hall '-P 4 2'
loop_
_atom_site_label
_atom_site_fract_x
_atom_site_fract_y
_atom_site_fract_z
Mg1 0.000 0.000 0.000
Ga1 0.000 0.500 0.500
Ag1 0.500 0.500 0.500
Br1 0.500 0.500 0.000



# Cs3Na2CuF9 | Alexandria via LeMat-Bulk | PBE | optimized geometry
# Energy relative to the elements, uncorrected (meV/atom): -2267
data_Cs3Na2CuF9
_cell_length_a 6.2892
_cell_length_b 6.2892
_cell_length_c 7.8039
_cell_angle_alpha 90.00
_cell_angle_beta 90.00
_cell_angle_gamma 120.00
_space_group_name_H-M_alt 'P -3 m 1'
_space_group_IT_number 164
_space_group_name_Hall '-P 3 2"'
loop_
_atom_site_label
_atom_site_fract_x
_atom_site_fract_y
_atom_site_fract_z
Cs1 0.0000 0.0000 0.0000
Cs2 0.3333 0.6667 0.6798
Na1 0.3333 0.6667 0.1741
Cu1 0.0000 0.0000 0.5000
F1 0.0000 0.5000 0.0000
F2 0.1445 0.2890 0.3592



# Be2HgAs | Alexandria via LeMat-Bulk | PBE | optimized geometry
# Energy of formation from the pure elements (meV per atom): 221
data_Be2HgAs
_cell_length_a 7.271
_cell_length_b 3.546
_cell_length_c 5.772
_cell_angle_alpha 90.00
_cell_angle_beta 101.55
_cell_angle_gamma 90.00
_space_group_name_H-M_alt 'C 1 m 1'
_space_group_IT_number 8
loop_
_space_group_symop_operation_xyz
'x,y,z'
'x,-y,z'
'x+1/2,y+1/2,z'
'x+1/2,-y+1/2,z'
loop_
_atom_site_label
_atom_site_fract_x
_atom_site_fract_y
_atom_site_fract_z
Be1 0.000 0.000 0.000
Be2 0.203 0.500 0.963
Hg1 0.261 0.000 0.318
As1 0.396 0.000 0.784



# CaLaTe2 | Alexandria via LeMat-Bulk | PBE | optimized geometry
# Energy relative to the elements, uncorrected (meV/atom): -1403
# Energy above the most stable polymorph in this dataset (meV/atom): 192
data_CaLaTe2
_cell_length_a 7.858
_cell_length_b 7.858
_cell_length_c 3.923
_cell_angle_alpha 90.00
_cell_angle_beta 90.12
_cell_angle_gamma 90.00
_space_group_name_H-M_alt 'C 1 2/m 1'
_space_group_IT_number 12
loop_
_space_group_symop_operation_xyz
'x,y,z'
'-x,-y,-z'
'-x,y,-z'
'x,-y,z'
'x+1/2,y+1/2,z'
'-x+1/2,-y+1/2,-z'
'-x+1/2,y+1/2,-z'
'x+1/2,-y+1/2,z'
loop_
_atom_site_label
_atom_site_fract_x
_atom_site_fract_y
_atom_site_fract_z
Ca1 0.000 0.000 0.000
La1 0.000 0.500 0.000
Te1 0.250 0.250 0.500



# Pa2Co3Si5 | Alexandria via LeMat-Bulk | PBE | optimized geometry
# Energy relative to the elements, uncorrected (meV/atom): -741
data_Pa2Co3Si5
_cell_length_a 9.556
_cell_length_b 11.083
_cell_length_c 5.652
_cell_angle_alpha 90.00
_cell_angle_beta 90.00
_cell_angle_gamma 90.00
_space_group_name_H-M_alt 'I b a m'
_space_group_IT_number 72
_space_group_name_Hall '-I 2 2c'
loop_
_atom_site_label
_atom_site_fract_x
_atom_site_fract_y
_atom_site_fract_z
Pa1 0.235 0.133 0.000
Co1 0.000 0.500 0.250
Co2 0.116 0.138 0.500
Si1 0.000 0.000 0.250
Si2 0.000 0.268 0.250
Si3 0.150 0.394 0.000



# Sr2Zn2Pd5Pb | Alexandria via LeMat-Bulk | PBE | optimized geometry
# Energy of formation from the pure elements (meV per atom): -562
data_Sr2Zn2Pd5Pb
_cell_length_a 10.234
_cell_length_b 10.234
_cell_length_c 3.803
_cell_angle_alpha 90.00
_cell_angle_beta 90.00
_cell_angle_gamma 90.00
_space_group_name_H-M_alt 'P 4/m b m'
_space_group_IT_number 127
_space_group_name_Hall '-P 4 2ab'
loop_
_atom_site_label
_atom_site_fract_x
_atom_site_fract_y
_atom_site_fract_z
Sr1 0.179 0.321 0.000
Zn1 0.117 0.617 0.000
Pd1 0.000 0.500 0.500
Pd2 0.066 0.785 0.500
Pb1 0.000 0.000 0.000



# Mn2Au | Alexandria via LeMat-Bulk | PBE | optimized geometry
# Energy of formation from the pure elements (meV per atom): 448
data_Mn2Au
_cell_length_a 4.0345
_cell_length_b 4.0345
_cell_length_c 2.8273
_cell_angle_alpha 90.00
_cell_angle_beta 90.00
_cell_angle_gamma 120.00
_space_group_name_H-M_alt 'P 6/m m m'
_space_group_IT_number 191
_space_group_name_Hall '-P 6 2'
loop_
_atom_site_label
_atom_site_fract_x
_atom_site_fract_y
_atom_site_fract_z
Mn1 0.3333 0.6667 0.0000
Au1 0.0000 0.0000 0.5000



# LiPb2 | Alexandria via LeMat-Bulk | PBE | optimized geometry
# Energy of formation from the pure elements (meV per atom): -66
# Energy above the most stable polymorph in this dataset (meV/atom): 104
data_LiPb2
_cell_length_a 4.8488
_cell_length_b 4.8488
_cell_length_c 11.8358
_cell_angle_alpha 90.00
_cell_angle_beta 90.00
_cell_angle_gamma 120.00
_space_group_name_H-M_alt 'R -3 m'
_space_group_IT_number 166
_space_group_name_Hall '-R 3 2"'
loop_
_atom_site_label
_atom_site_fract_x
_atom_site_fract_y
_atom_site_fract_z
Li1 0.0000 0.0000 0.0000
Pb1 0.0000 0.0000 0.2504



# BeCr2Pt | Alexandria via LeMat-Bulk | PBE | optimized geometry
# Energy of formation from the pure elements (meV per atom): -157
data_BeCr2Pt
_cell_length_a 2.630
_cell_length_b 3.857
_cell_length_c 4.719
_cell_angle_alpha 90.00
_cell_angle_beta 90.00
_cell_angle_gamma 90.00
_space_group_name_H-M_alt 'P m m m'
_space_group_IT_number 47
loop_
_space_group_symop_operation_xyz
'x,y,z'
'-x,-y,-z'
'-x,-y,z'
'x,y,-z'
'x,-y,-z'
'-x,y,z'
'-x,y,-z'
'x,-y,z'
loop_
_atom_site_label
_atom_site_fract_x
_atom_site_fract_y
_atom_site_fract_z
Be1 0.000 0.000 0.000
Cr1 0.500 0.500 0.211
Pt1 0.000 0.000 0.500



# ScTc2 | Alexandria via LeMat-Bulk | PBE | optimized geometry
# Energy of formation from the pure elements (meV per atom): 1309
# Energy above the most stable polymorph in this dataset (meV/atom): 1613
data_ScTc2
_cell_length_a 6.102
_cell_length_b 6.102
_cell_length_c 6.102
_cell_angle_alpha 90.00
_cell_angle_beta 90.00
_cell_angle_gamma 90.00
_space_group_name_H-M_alt 'P a -3'
_space_group_IT_number 205
_space_group_name_Hall '-P 2ac 2ab 3'
loop_
_atom_site_label
_atom_site_fract_x
_atom_site_fract_y
_atom_site_fract_z
Sc1 0.000 0.000 0.000
Tc1 0.111 0.611 0.889



no.,density of states at the Fermi level (states/eV/atom),uncorrected energy (eV per atom)
1,0.578,-5.891
2,0.340,-2.240
3,0.893,-4.009
4,0.195,-2.880
5,0.594,-4.706
6,0.588,-7.483
7,0.195,-4.121
8,1.182,-6.757
9,0.607,-3.177
10,0.597,-7.410
11,1.205,-7.712